1.
Ac2LaPd9: relaxed, PBE.

Values from the calculation:
relative energy among the computed polymorphs	0	meV per atom
formation energy	-0.7435	eV/atom
spin magnetization	0.0	μB per formula unit

abc: 4.291 4.291 12.862
angles: 90.00 90.00 90.00
Sites, in units of the cell vectors:
Pd  0.000  0.500  0.838
Pd  0.000  0.500  0.162
Pd  0.500  0.500  0.670
Pd  0.500  0.500  0.000
Pd  0.500  0.000  0.500
Pd  0.500  0.500  0.330
Pd  0.500  0.000  0.838
Pd  0.000  0.500  0.500
Pd  0.500  0.000  0.162
Ac  0.000  0.000  0.332
Ac  0.000  0.000  0.668
La  0.000  0.000  0.000

---

2.
Ac2La2Pd3: relaxed, PBE.

Values from the calculation:
formation energy	-0.6472	eV/atom
spin magnetization	0.0	μB per formula unit

abc: 4.399 7.524 7.492
angles: 101.23 90.02 107.04
Sites, in units of the cell vectors:
Pd  0.249  0.498  0.740
Pd  0.751  0.502  0.260
Pd  0.000  0.000  0.000
La  0.135  0.271  0.364
La  0.865  0.729  0.636
Ac  0.624  0.248  0.874
Ac  0.376  0.752  0.126

---

3.
Ac4La3Pd2: relaxed, PBE.

Values from the calculation:
formation energy	-0.3356	eV/atom
spin magnetization	0.0	μB per formula unit

abc: 4.063 9.685 9.469
angles: 115.62 102.39 90.00
Sites, in units of the cell vectors:
La  0.078  0.188  0.156
La  0.000  0.500  0.000
La  0.922  0.812  0.844
Ac  0.770  0.348  0.540
Ac  0.230  0.652  0.460
Ac  0.374  0.116  0.748
Ac  0.626  0.884  0.252
Pd  0.401  0.568  0.802
Pd  0.599  0.432  0.198

---

4.
AcLa4Pd2: relaxed, PBE.

Values from the calculation:
formation energy	-0.3914	eV/atom
spin magnetization	0.0	μB per formula unit

abc: 6.837 8.458 8.426
angles: 114.59 90.00 90.00
Sites, in units of the cell vectors:
Pd  0.750  0.358  0.401
Pd  0.250  0.233  0.990
Pd  0.750  0.767  0.010
Pd  0.250  0.642  0.599
La  0.989  0.407  0.773
La  0.489  0.593  0.227
La  0.511  0.407  0.773
La  0.750  0.713  0.638
La  0.011  0.593  0.227
La  0.750  0.006  0.388
La  0.250  0.287  0.362
La  0.250  0.994  0.612
Ac  0.250  0.854  0.987
Ac  0.750  0.146  0.013

---

5.
AcLaPd: relaxed, PBE.

Values from the calculation:
relative energy among the computed polymorphs	86	meV per atom
formation energy	-0.3675	eV/atom
spin magnetization	0.0	μB per formula unit

abc: 4.507 4.930 4.930
angles: 120.00 90.00 90.00
Sites, in units of the cell vectors:
Ac  0.043  0.000  0.000
La  0.578  0.667  0.333
Pd  0.378  0.333  0.667

---

6.
AcLaPd: relaxed, PBE.

Values from the calculation:
relative energy among the computed polymorphs	90	meV per atom
formation energy	-0.3635	eV/atom
spin magnetization	0.0	μB per formula unit

abc: 5.228 5.228 5.228
angles: 60.00 60.00 60.00
Sites, in units of the cell vectors:
Ac  0.500  0.500  0.500
La  0.000  0.000  0.000
Pd  0.250  0.250  0.250

---

7.
AcLaPd3: relaxed, PBE.

Values from the calculation:
relative energy among the computed polymorphs	0	meV per atom
formation energy	-0.8137	eV/atom
spin magnetization	0.0	μB per formula unit

abc: 4.484 4.066 13.966
angles: 98.37 90.00 90.00
Sites, in units of the cell vectors:
La  0.250  0.797  0.594
La  0.750  0.203  0.406
Pd  0.750  0.527  0.054
Pd  0.750  0.624  0.248
Pd  0.750  0.314  0.628
Pd  0.250  0.686  0.372
Pd  0.250  0.376  0.752
Pd  0.250  0.473  0.946
Ac  0.750  0.928  0.857
Ac  0.250  0.072  0.143

---

8.
Ac2LaPd6: relaxed, PBE.

Values from the calculation:
formation energy	-0.7586	eV/atom
spin magnetization	0.0	μB per formula unit

abc: 3.974 7.931 7.931
angles: 120.00 90.00 90.00
Sites, in units of the cell vectors:
Ac  0.000  0.667  0.333
Ac  0.000  0.333  0.667
Pd  0.500  0.000  0.668
Pd  0.500  0.332  0.332
Pd  0.500  0.332  0.000
Pd  0.500  0.668  0.000
Pd  0.500  0.000  0.332
Pd  0.500  0.668  0.668
La  0.000  0.000  0.000